Sc2MnCl after structural relaxation, computed with GGA-PBE.

## Properties
The value obtained for the theoretical density is 4151 kg/m3. Its energy above the most stable polymorph in this dataset is 256 meV/atom.

Geometry as extended XYZ:
```
4
Lattice="5.230 0.002 0.009 4.298 2.980 0.009 -0.532 -0.166 4.631" Properties=species:S:1:pos:R:3 pbc="T T T"
Cl 4.150 1.299 2.713
Mn 2.566 0.803 0.736
Sc 6.683 2.092 3.041
Sc 0.095 0.030 0.483
```



Pr2TmGa after structural relaxation, computed with GGA-PBE.

## Properties
The value obtained for the theoretical density is 7558 kg/m3. Its energy above the most stable polymorph in this dataset is 143 meV/atom.

Geometry as extended XYZ:
```
4
Lattice="5.448 0.000 0.000 2.724 4.718 0.000 2.724 1.573 4.448" Properties=species:S:1:pos:R:3 pbc="T T T"
Pr 2.724 1.573 1.112
Pr 8.172 4.718 3.336
Tm 5.448 3.145 2.224
Ga 0.000 0.000 0.000
```



AcNd2Au4 after structural relaxation, computed with GGA-PBE.

## Properties
The value obtained for the total energy is -4.467 eV per atom. The value obtained for the theoretical density is 10618 kg/m3.

Geometry as extended XYZ:
```
7
Lattice="5.382 0.000 0.000 0.000 5.831 -2.582 0.000 0.281 6.371" Properties=species:S:1:pos:R:3 pbc="T T T"
Au 2.691 0.140 3.185
Au 0.000 1.753 1.087
Au 0.000 4.359 2.702
Nd 0.000 1.480 4.437
Au 2.691 2.915 -1.291
Nd 0.000 4.632 -0.648
Ac 2.691 3.056 1.894
```



MgBrO2 after structural relaxation, computed with GGA-PBE.

## Properties
The value obtained for the theoretical density is 3975 kg/m3. Its energy above the most stable polymorph in this dataset is 310 meV/atom.

Geometry as extended XYZ:
```
16
Lattice="5.985 0.000 0.000 0.000 3.546 0.000 0.000 0.000 10.726" Properties=species:S:1:pos:R:3 pbc="T T T"
Br 3.483 0.886 3.962
Mg 3.146 2.659 1.415
Mg 2.840 0.886 9.311
Mg 0.153 2.659 3.948
O 3.720 2.659 10.045
O 4.941 2.659 2.278
Br 2.502 2.659 6.763
Br 0.490 0.886 1.400
Mg 5.832 0.886 6.778
O 4.037 0.886 7.640
O 0.728 2.659 6.043
O 1.949 2.659 3.085
Br 5.495 2.659 9.325
O 5.257 0.886 4.682
O 2.265 0.886 0.680
O 1.044 0.886 8.448
```



Cs2CaRh after structural relaxation, computed with GGA-PBE.

## Properties
The value obtained for the theoretical density is 4484 kg/m3. Its energy above the most stable polymorph in this dataset is 31 meV/atom.

Geometry as extended XYZ:
```
4
Lattice="2.375 2.697 4.782 -3.240 0.644 4.988 1.347 -3.195 4.875" Properties=species:S:1:pos:R:3 pbc="T T T"
Ca 0.000 0.000 0.000
Cs 0.362 0.109 10.983
Cs 0.121 0.036 3.661
Rh 0.241 0.073 7.322
```



Cr5In3 after structural relaxation, computed with GGA-PBE.

## Properties
The value obtained for the total energy is -6.657 eV per atom. The value obtained for the theoretical density is 7383 kg/m3.

Geometry as extended XYZ:
```
8
Lattice="3.352 -4.527 0.000 3.352 4.527 0.000 0.000 0.000 4.480" Properties=species:S:1:pos:R:3 pbc="T T T"
In 3.352 0.000 0.000
In 3.352 2.297 2.240
Cr 1.598 0.000 2.240
Cr 1.676 2.263 0.000
Cr 5.106 0.000 2.240
Cr 1.676 -2.263 0.000
Cr 0.000 0.000 0.000
In 3.352 -2.297 2.240
```



ReIr8Ru6 after structural relaxation, computed with GGA-PBE.

## Properties
The value obtained for the total energy is -8.894 eV per atom. The value obtained for the theoretical density is 16782 kg/m3.

Geometry as extended XYZ:
```
15
Lattice="-1.672 -1.907 -0.981 7.020 -2.893 -6.345 -0.560 -4.125 8.977" Properties=species:S:1:pos:R:3 pbc="T T T"
Ir 0.055 -3.210 0.486
Ir 3.252 -7.320 3.027
Ru 2.682 -3.407 0.182
Ir -1.174 -4.910 5.887
Ru 0.906 -6.285 5.009
Ir 1.547 -4.193 3.624
Ir 4.733 -5.716 1.166
Ru 2.106 -5.518 1.470
Ru -0.883 -3.642 2.919
Ir 5.962 -4.015 -4.236
Ru 3.883 -2.640 -3.357
Ir 3.241 -4.732 -1.972
Re -0.836 -0.954 -0.490
Ir 1.536 -1.605 -1.375
Ru 5.672 -5.283 -1.267
```



Cs4Pr3SnS8 after structural relaxation, computed with GGA-PBE.

## Properties
The value obtained for the total energy is -4.935 eV per atom. The value obtained for the theoretical density is 4364 kg/m3.

Geometry as extended XYZ:
```
16
Lattice="8.500 0.000 0.000 0.000 9.437 0.647 -4.250 -4.244 6.015" Properties=species:S:1:pos:R:3 pbc="T T T"
S 0.000 0.640 3.453
Pr -2.125 2.597 3.331
S 4.250 0.635 3.522
Cs 0.000 0.000 0.000
S 2.177 2.384 6.221
Pr 2.125 2.597 3.331
Cs 2.125 -2.122 3.008
S 4.250 4.553 3.210
Cs -2.125 -2.122 3.008
S -2.177 2.384 6.221
Sn 0.000 4.718 0.324
S 0.000 4.558 3.141
S 2.073 2.809 0.442
Cs 4.250 0.000 0.000
Pr 4.250 4.718 0.324
S 6.427 2.809 0.442
```



LuTaTcNi after structural relaxation, computed with GGA-PBE.

## Properties
The value obtained for the total energy is -8.357 eV per atom. The value obtained for the theoretical density is 12710 kg/m3.

Geometry as extended XYZ:
```
4
Lattice="4.558 0.000 0.000 2.279 3.948 0.000 2.279 1.316 3.722" Properties=species:S:1:pos:R:3 pbc="T T T"
Ni 2.279 1.316 0.930
Tc 6.837 3.948 2.791
Ta 4.558 2.632 1.861
Lu 0.000 0.000 0.000
```



SrPuGa4 after structural relaxation, computed with GGA-PBE.

## Properties
The value obtained for the theoretical density is 7860 kg/m3. Its energy above the most stable polymorph in this dataset is 46 meV/atom.

Geometry as extended XYZ:
```
6
Lattice="-5.225 1.729 1.368 -2.659 -2.267 4.467 -0.828 3.097 4.679" Properties=species:S:1:pos:R:3 pbc="T T T"
Ga -5.454 1.602 6.582
Sr -2.178 0.640 2.628
Pu 0.000 0.000 0.000
Ga -4.114 2.745 4.330
Ga -5.037 0.041 4.223
Ga -2.820 0.730 5.892
```



NdHoGa2Ni2 after structural relaxation, computed with GGA-PBE.

## Properties
The value obtained for the total energy is -5.070 eV per atom. The value obtained for the theoretical density is 8122 kg/m3.

Geometry as extended XYZ:
```
6
Lattice="4.316 0.000 0.000 -2.158 3.738 0.000 0.000 0.000 7.173" Properties=species:S:1:pos:R:3 pbc="T T T"
Ni 0.000 2.492 5.209
Ho 0.000 0.000 3.587
Nd 0.000 0.000 0.000
Ni 2.158 1.246 1.965
Ga 0.000 2.492 1.934
Ga 2.158 1.246 5.240
```



Pu2U3S8 after structural relaxation, computed with GGA-PBE.

## Properties
The value obtained for the theoretical density is 7028 kg/m3. Its energy above the most stable polymorph in this dataset is 0 meV/atom.

Geometry as extended XYZ:
```
13
Lattice="6.645 0.000 0.146 0.000 7.934 0.000 -2.513 -3.967 6.482" Properties=species:S:1:pos:R:3 pbc="T T T"
S -1.436 3.967 5.001
Pu 3.170 3.967 3.161
U 3.322 0.000 0.073
S 2.135 1.834 1.641
S 2.135 6.100 1.641
S 1.996 -2.133 4.987
U 0.000 5.885 0.000
U 0.000 2.049 0.000
S -1.402 0.000 5.006
Pu 0.961 0.000 3.467
S 5.533 3.967 1.622
S 5.567 0.000 1.627
S 1.996 2.133 4.987
```



CdSi2Rh after structural relaxation, computed with GGA-PBE.

## Properties
The value obtained for the total energy is -4.865 eV per atom. The value obtained for the theoretical density is 6642 kg/m3.

Geometry as extended XYZ:
```
8
Lattice="6.009 0.000 -0.020 0.000 3.429 0.000 -5.429 0.000 6.606" Properties=species:S:1:pos:R:3 pbc="T T T"
Si -5.007 1.714 6.276
Cd -2.467 1.714 5.319
Si 1.275 1.714 3.886
Si -2.292 0.000 2.973
Si 3.989 0.000 0.583
Rh 2.471 1.714 1.646
Rh -0.243 0.000 4.949
Cd 0.247 0.000 2.016
```



La2PmAlO after structural relaxation, computed with GGA-PBE.

## Properties
The value obtained for the total energy is -5.995 eV per atom. The value obtained for the theoretical density is 6228 kg/m3.

Geometry as extended XYZ:
```
5
Lattice="4.927 0.000 0.000 0.000 5.021 0.000 0.000 0.000 5.021" Properties=species:S:1:pos:R:3 pbc="T T T"
La 0.000 0.000 2.510
Pm 2.463 0.000 0.000
La 0.000 2.510 0.000
O 0.000 0.000 0.000
Al 2.463 2.510 2.510
```